[1]
# Li2TlMo | the Alexandria database | PBE-GGA | optimized geometry
data_Li2TlMo
_chemical_formula_sum 'Li4 Tl2 Mo2'
_space_group_name_H-M_alt 'I m m 2'
_space_group_IT_number 44
_space_group_name_Hall 'I 2 -2'
_cell_length_a 3.548
_cell_length_b 4.531
_cell_length_c 8.723
_cell_angle_alpha 90.00
_cell_angle_beta 90.00
_cell_angle_gamma 90.00
loop_
_atom_site_label
_atom_site_fract_x
_atom_site_fract_y
_atom_site_fract_z
Li1 0.000 0.000 0.000
Li2 0.000 0.500 0.273
Tl1 0.000 0.500 0.747
Mo1 0.000 0.000 0.519
# E in eV for the cell shown: -30.0
# Energy of formation from the pure elements in meV per atom: 500



[2]
# Tb6Sm2Zn | the Alexandria database | PBE-GGA | optimized geometry
data_Tb6Sm2Zn
_chemical_formula_sum 'Tb12 Sm4 Zn2'
_space_group_name_H-M_alt 'P n n m'
_space_group_IT_number 58
_space_group_name_Hall '-P 2 2n'
_cell_length_a 9.844
_cell_length_b 10.232
_cell_length_c 5.420
_cell_angle_alpha 90.00
_cell_angle_beta 90.00
_cell_angle_gamma 90.00
loop_
_atom_site_label
_atom_site_fract_x
_atom_site_fract_y
_atom_site_fract_z
Tb1 0.019 0.189 0.000
Tb2 0.133 0.605 0.500
Tb3 0.189 0.931 0.500
Sm1 0.192 0.256 0.500
Zn1 0.000 0.500 0.000
# E in eV for the cell shown: -76.6
# Energy of formation from the pure elements in meV per atom: 24



[3]
# Li12TlAu6 | the Alexandria database | PBE-GGA | optimized geometry
data_Li12TlAu6
_chemical_formula_sum 'Li36 Tl3 Au18'
_space_group_name_H-M_alt 'R -3'
_space_group_IT_number 148
_space_group_name_Hall '-R 3'
_cell_length_a 12.3246
_cell_length_b 12.3246
_cell_length_c 7.0353
_cell_angle_alpha 90.00
_cell_angle_beta 90.00
_cell_angle_gamma 120.00
loop_
_atom_site_label
_atom_site_fract_x
_atom_site_fract_y
_atom_site_fract_z
Li1 0.0108 0.1484 0.1573
Li2 0.0596 0.5620 0.1841
Tl1 0.0000 0.0000 0.5000
Au1 0.0266 0.2682 0.8132
# E in eV for the cell shown: -159.5
# Energy of formation from the pure elements in meV per atom: -430